(1)
Compound: KPtPb
Source: the Alexandria database
Functional: GGA-PBE
Structure: optimized geometry

POSCAR file:
```
KPtPb
1.0
-4.5773 -4.1135 3.2427
2.3624 -5.6575 -3.8422
6.5889 -0.0791 4.1676
Pb Pt K
4 4 4
direct
0.8183 0.6293 0.0831
0.6817 0.1293 0.4169
0.1817 0.3707 0.9169
0.3183 0.8707 0.5831
0.0532 0.1074 0.6662
0.5532 0.3926 0.1662
0.9468 0.8926 0.3338
0.4468 0.6074 0.8338
0.2860 0.8758 0.0841
0.7860 0.6242 0.5841
0.7140 0.1242 0.9159
0.2140 0.3758 0.4159
```

Computed properties:
Total energy   -3.837 eV per atom
SG   P2_1/c, No. 14
Crystal system   monoclinic
Formation enthalpy at 0 K   -0.2217 eV per atom



(2)
Compound: PmNiRh3
Source: the Alexandria database
Functional: GGA-PBE
Structure: optimized geometry

POSCAR file:
```
PmNiRh3
1.0
4.7166 0.0000 0.0000
0.0000 6.9394 -0.1853
0.0000 -3.3066 6.1037
Ni Rh Pm
2 6 2
direct
0.7500 0.8217 0.1783
0.2500 0.1783 0.8217
0.7500 0.0450 0.5978
0.7500 0.4022 0.9550
0.5000 0.0000 0.0000
0.2500 0.5978 0.0450
0.2500 0.9550 0.4022
0.0000 0.0000 0.0000
0.2500 0.3962 0.6038
0.7500 0.6038 0.3962
```

Computed properties:
Total energy   -6.266 eV per atom
SG   Cmcm, No. 63
Crystal system   orthorhombic
Formation enthalpy at 0 K   0.2513 eV per atom



- Which value of total energy does entry 2 give?
  -6.266 eV per atom